[1]
Mn3As | PBE | relaxed Values from VASP.

Calculated values
Space group: No. 25
Uncorrected energy (eV per atom): -7.982

```
&SYSTEM
  ibrav = 0, nat = 4, ntyp = 2
/
ATOMIC_SPECIES
As 74.92 As.upf
Mn 54.94 Mn.upf
CELL_PARAMETERS angstrom
-4.0305 -0.3481 -1.1845
0.7930 -0.2946 -2.6120
0.2053 -4.2009 0.5361
ATOMIC_POSITIONS crystal
As 0.5000 0.0000 0.6733
Mn 0.0000 0.0000 0.9934
Mn 0.0000 0.5000 0.4857
Mn 0.5000 0.5000 0.1809
```

=====

[2]
LiIn2Bi2 | PBE | relaxed Values from VASP.

Calculated values
Space group: No. 139
Uncorrected energy (eV per atom): -2.968

```
&SYSTEM
  ibrav = 0, nat = 5, ntyp = 3
/
ATOMIC_SPECIES
Li 6.94 Li.upf
Bi 208.98 Bi.upf
In 114.82 In.upf
CELL_PARAMETERS angstrom
-3.3305 3.6357 2.8860
-4.6412 -2.6709 -1.9914
-3.9136 -2.6085 4.4244
ATOMIC_POSITIONS crystal
Li 0.0000 0.0000 0.0000
Bi 0.7500 0.2500 0.5000
Bi 0.2500 0.7500 0.5000
In 0.3610 0.3610 0.2780
In 0.6390 0.6390 0.7220
```

=====

[3]
NaVI4 | PBE | relaxed Values from VASP.

Calculated values
Space group: No. 10
Uncorrected energy (eV per atom): -3.461

```
&SYSTEM
  ibrav = 0, nat = 6, ntyp = 3
/
ATOMIC_SPECIES
Na 22.99 Na.upf
V 50.94 V.upf
I 126.90 I.upf
CELL_PARAMETERS angstrom
-3.1564 0.9929 2.4768
-1.4146 -7.0024 1.0041
4.9049 0.3542 6.1086
ATOMIC_POSITIONS crystal
Na 0.0000 0.0000 0.0000
V 0.5000 0.0000 0.5000
I 0.0000 0.7818 0.6289
I 0.5000 0.2314 0.7921
I 0.5000 0.7686 0.2079
I 0.0000 0.2182 0.3711
```

=====

[4]
BeP2Se | PBE | relaxed Values from VASP.

Calculated values
Space group: No. 10
Uncorrected energy (eV per atom): -4.343

```
&SYSTEM
  ibrav = 0, nat = 4, ntyp = 3
/
ATOMIC_SPECIES
P 30.97 P.upf
Se 78.96 Se.upf
Be 9.01 Be.upf
CELL_PARAMETERS angstrom
-0.9652 3.3421 -0.0649
-0.4587 -0.2102 -3.9983
-4.5422 -1.3204 -0.4458
ATOMIC_POSITIONS crystal
P 0.0000 0.0159 0.9176
P 0.0000 0.4841 0.5824
Se 0.5000 0.2500 0.2500
Be 0.5000 0.7500 0.7500
```

=====

[5]
LiTlHgSe | PBE | relaxed Values from VASP.

Calculated values
Space group: No. 216
Uncorrected energy (eV per atom): -2.404

```
&SYSTEM
  ibrav = 0, nat = 4, ntyp = 4
/
ATOMIC_SPECIES
Tl 204.38 Tl.upf
Hg 200.59 Hg.upf
Se 78.96 Se.upf
Li 6.94 Li.upf
CELL_PARAMETERS angstrom
5.2475 0.0000 0.0000
2.6237 4.5445 0.0000
2.6237 1.5148 4.2845
ATOMIC_POSITIONS crystal
Tl 0.0000 0.0000 0.0000
Hg 0.7500 0.7500 0.7500
Se 0.2500 0.2500 0.2500
Li 0.5000 0.5000 0.5000
```

=====

[6]
AgTeSe | PBE | relaxed Values from VASP.

Calculated values
Space group: No. 8
Uncorrected energy (eV per atom): -3.182

```
&SYSTEM
  ibrav = 0, nat = 3, ntyp = 3
/
ATOMIC_SPECIES
Ag 107.87 Ag.upf
Te 127.60 Te.upf
Se 78.96 Se.upf
CELL_PARAMETERS angstrom
-0.0632 1.4000 4.0966
-1.0908 -2.7091 3.1883
5.4040 0.4474 2.2152
ATOMIC_POSITIONS crystal
Ag 0.8916 0.5188 0.9141
Te 0.0371 0.9455 0.1958
Se 0.7181 0.1066 0.6757
```

=====

[7]
BaBeAs2 | PBE | relaxed Values from VASP.

Calculated values
Space group: No. 44
Uncorrected energy (eV per atom): -3.695

```
&SYSTEM
  ibrav = 0, nat = 4, ntyp = 3
/
ATOMIC_SPECIES
Be 9.01 Be.upf
As 74.92 As.upf
Ba 137.33 Ba.upf
CELL_PARAMETERS angstrom
-2.3347 -3.3250 -4.2376
3.7404 -4.3061 -1.3896
-3.2145 2.1824 4.4009
ATOMIC_POSITIONS crystal
Be 0.1634 0.6634 0.5000
As 0.0396 0.0396 0.0000
As 0.8060 0.3060 0.5000
Ba 0.4910 0.4910 0.0000
```

=====

[8]
Rb2TaTl3Te6 | PBE | relaxed Values from VASP.

Calculated values
Space group: No. 12
Uncorrected energy (eV per atom): -3.743

```
&SYSTEM
  ibrav = 0, nat = 12, ntyp = 4
/
ATOMIC_SPECIES
Rb 85.47 Rb.upf
Ta 180.95 Ta.upf
Tl 204.38 Tl.upf
Te 127.60 Te.upf
CELL_PARAMETERS angstrom
-7.4102 1.0710 -5.2687
-0.0357 -1.1930 9.0770
2.8939 7.1852 -0.3537
ATOMIC_POSITIONS crystal
Rb 0.3176 0.6824 0.0000
Rb 0.6824 0.3176 0.0000
Ta 0.0000 0.0000 0.0000
Tl 0.1191 0.8809 0.5000
Tl 0.8809 0.1191 0.5000
Tl 0.5000 0.5000 0.5000
Te 0.9204 0.6730 0.7721
Te 0.7715 0.7715 0.1947
Te 0.0796 0.3270 0.2279
Te 0.6730 0.9204 0.7721
Te 0.2285 0.2285 0.8053
Te 0.3270 0.0796 0.2279
```

=====

[9]
BaMnBr5 | PBE | relaxed Values from VASP.

Calculated values
Space group: No. 15
Uncorrected energy (eV per atom): -4.041

```
&SYSTEM
  ibrav = 0, nat = 14, ntyp = 3
/
ATOMIC_SPECIES
Ba 137.33 Ba.upf
Mn 54.94 Mn.upf
Br 79.90 Br.upf
CELL_PARAMETERS angstrom
6.7522 -0.4803 -1.5001
-3.2950 6.0705 -0.6045
0.0413 -0.0838 11.1614
ATOMIC_POSITIONS crystal
Ba 0.7718 0.5218 0.2500
Ba 0.2282 0.4782 0.7500
Mn 0.0000 0.0000 0.0000
Mn 0.5000 0.0000 0.5000
Br 0.7391 0.0073 0.1131
Br 0.1226 0.8181 0.5434
Br 0.6057 0.3739 0.6131
Br 0.2904 0.0404 0.2500
Br 0.7747 0.5792 0.9566
Br 0.2253 0.4208 0.0434
Br 0.7096 0.9596 0.7500
Br 0.3943 0.6261 0.3869
Br 0.8774 0.1819 0.4566
Br 0.2609 0.9927 0.8869
```

=====

[10]
KNa3Bi3 | PBE | relaxed Values from VASP.

Calculated values
Space group: No. 223
Uncorrected energy (eV per atom): -2.196

```
&SYSTEM
  ibrav = 0, nat = 14, ntyp = 3
/
ATOMIC_SPECIES
Na 22.99 Na.upf
K 39.10 K.upf
Bi 208.98 Bi.upf
CELL_PARAMETERS angstrom
8.6323 0.0000 0.0000
0.0000 8.6323 0.0000
0.0000 0.0000 8.6323
ATOMIC_POSITIONS crystal
Na 0.2500 0.0000 0.5000
Na 0.0000 0.5000 0.2500
Na 0.5000 0.7500 0.0000
Na 0.7500 0.0000 0.5000
Na 0.0000 0.5000 0.7500
Na 0.5000 0.2500 0.0000
K 0.5000 0.5000 0.5000
K 0.0000 0.0000 0.0000
Bi 0.0000 0.2500 0.5000
Bi 0.0000 0.7500 0.5000
Bi 0.5000 0.0000 0.7500
Bi 0.7500 0.5000 0.0000
Bi 0.5000 0.0000 0.2500
Bi 0.2500 0.5000 0.0000
```

=====

[11]
NiPd2Se2 | PBE | relaxed Values from VASP.

Calculated values
Space group: No. 127
Uncorrected energy (eV per atom): -4.648

```
&SYSTEM
  ibrav = 0, nat = 10, ntyp = 3
/
ATOMIC_SPECIES
Ni 58.69 Ni.upf
Se 78.96 Se.upf
Pd 106.42 Pd.upf
CELL_PARAMETERS angstrom
6.6184 0.0000 0.0000
0.0000 6.6184 0.0000
0.0000 0.0000 3.8283
ATOMIC_POSITIONS crystal
Ni 0.0000 0.0000 0.0000
Ni 0.5000 0.5000 0.0000
Se 0.3312 0.8312 0.0000
Se 0.8312 0.6688 0.0000
Se 0.6688 0.1688 0.0000
Se 0.1688 0.3312 0.0000
Pd 0.1495 0.6495 0.5000
Pd 0.6495 0.8505 0.5000
Pd 0.8505 0.3505 0.5000
Pd 0.3505 0.1495 0.5000
```

=====

[12]
CuPt2Rh | PBE | relaxed Values from VASP.

Calculated values
Space group: No. 160
Uncorrected energy (eV per atom): -5.927

```
&SYSTEM
  ibrav = 0, nat = 4, ntyp = 3
/
ATOMIC_SPECIES
Rh 102.91 Rh.upf
Cu 63.55 Cu.upf
Pt 195.08 Pt.upf
CELL_PARAMETERS angstrom
-0.9051 3.3035 -8.3783
-1.3665 0.6508 -8.9240
-3.4257 2.2557 -8.0687
ATOMIC_POSITIONS crystal
Rh 0.4963 0.4963 0.4963
Cu 0.7510 0.7510 0.7510
Pt 0.0045 0.0045 0.0045
Pt 0.2482 0.2482 0.2482
```